32
Lattice="8.809 0.000 0.000 0.000 9.275 0.000 0.000 0.000 13.914" Properties=species:S:1:pos:R:3 comment="Rb2YBr5 PBE relaxed" formation_energy_uncorrected_ev_per_atom=-1.839 sg=Pnma dos_at_fermi_per_ev_cell=0.0 magnetic_moment_mub_per_cell=0.000 crystal_system=orthorhombic pbc="T T T"
Br 0.819 6.956 11.395
Rb 5.092 4.557 2.358
Rb 8.122 0.081 9.315
Br 5.867 4.204 6.111
Br 5.224 2.319 9.476
Br 7.347 4.204 13.068
Rb 3.717 4.718 11.556
Br 5.634 6.956 9.653
Br 3.585 6.956 4.438
Br 3.175 2.319 4.260
Br 2.942 5.071 7.803
Y 3.775 2.319 7.031
Br 1.462 8.841 0.846
Br 0.876 2.319 7.160
Br 7.933 6.956 6.754
Br 5.280 6.956 13.711
Br 1.462 5.071 0.846
Rb 0.687 4.718 4.599
Br 7.990 2.319 2.519
Y 0.630 2.319 0.075
Rb 3.717 9.194 11.556
Rb 8.122 4.557 9.315
Rb 5.092 0.081 2.358
Br 7.347 0.434 13.068
Rb 0.687 9.194 4.599
Br 7.580 6.956 2.697
Br 3.529 2.319 0.203
Br 1.229 2.319 11.217
Y 5.034 6.956 6.882
Br 5.867 0.434 6.111
Y 8.179 6.956 13.839
Br 2.942 8.841 7.803